Computed, not measured: an optimized crystal structure of GePdIO2 at the PBE-GGA level of DFT.

Cell: 4.1378 4.1378 5.3448 Å, 90.00 90.00 90.00°
Fractional positions:
I (0.0000, 0.0000, 0.5000)
Ge (0.5000, 0.5000, 0.5000)
O (0.0000, 0.5000, 0.0000)
O (0.5000, 0.0000, 0.0000)
Pd (0.0000, 0.0000, 0.0000)

space-group type: P4/mmm, No. 123
excess energy over the best structure of this formula in the dataset: 62.99 kJ/mol of atoms
VASP energy: -3.96 eV per atom
raw formation energy: 291 meV/atom
calculated density: 6.1 g/cm3
DOS(E_F): 0.858 states/eV per atom
size of the total moment: 0.638 μB/cell


Computed, not measured: an optimized crystal structure of GePdIO2 at the PBE-GGA level of DFT.

Cell: 4.0427 5.5284 4.0427 Å, 90.00 90.00 90.00°
Fractional positions:
I (0.5000, 0.5000, 0.5000)
Ge (0.0000, 0.5000, 0.0000)
O (0.0000, 0.0000, 0.5000)
O (0.5000, 0.0000, 0.0000)
Pd (0.0000, 0.0000, 0.0000)

space-group type: P4/mmm, No. 123
excess energy over the best structure of this formula in the dataset: 46.84 kJ/mol of atoms
VASP energy: -4.13 eV per atom
raw formation energy: 124 meV/atom
calculated density: 6.2 g/cm3
DOS(E_F): 0.669 states/eV per atom
size of the total moment: 1.424 μB/cell


Computed, not measured: an optimized crystal structure of GePdIO2 at the PBE-GGA level of DFT.

Cell: 3.7250 3.7250 6.7940 Å, 90.00 90.00 90.00°
Fractional positions:
I (0.0000, 0.0000, 0.5000)
Ge (0.0000, 0.0000, 0.0000)
O (0.0000, 0.5000, 0.0000)
O (0.5000, 0.0000, 0.0000)
Pd (0.5000, 0.5000, 0.5000)

space-group type: P4/mmm, No. 123
excess energy over the best structure of this formula in the dataset: 0.00 kJ/mol of atoms
VASP energy: -4.62 eV per atom
raw formation energy: -362 meV/atom
calculated density: 6.0 g/cm3
DOS(E_F): 0.618 states/eV per atom
size of the total moment: 0.000 μB/cell


Computed, not measured: an optimized crystal structure of GePtIO2 at the PBE-GGA level of DFT.

Cell: 3.7202 3.7202 7.2764 Å, 90.00 90.00 90.00°
Fractional positions:
I (0.0000, 0.0000, 0.5000)
Ge (0.0000, 0.0000, 0.0000)
O (0.0000, 0.5000, 0.0000)
O (0.5000, 0.0000, 0.0000)
Pt (0.5000, 0.5000, 0.5000)

space-group type: P4/mmm, No. 123
excess energy over the best structure of this formula in the dataset: 0.00 kJ/mol of atoms
VASP energy: -4.62 eV per atom
raw formation energy: -193 meV/atom
calculated density: 7.0 g/cm3
DOS(E_F): 1.064 states/eV per atom
size of the total moment: 0.005 μB/cell


Computed, not measured: an optimized crystal structure of GePtIO2 at the PBE-GGA level of DFT.

Cell: 4.0920 4.0920 5.5189 Å, 90.00 90.00 90.00°
Fractional positions:
I (0.0000, 0.0000, 0.5000)
Ge (0.5000, 0.5000, 0.5000)
O (0.0000, 0.5000, 0.0000)
O (0.5000, 0.0000, 0.0000)
Pt (0.0000, 0.0000, 0.0000)

space-group type: P4/mmm, No. 123
excess energy over the best structure of this formula in the dataset: 46.93 kJ/mol of atoms
VASP energy: -4.13 eV per atom
raw formation energy: 293 meV/atom
calculated density: 7.7 g/cm3
DOS(E_F): 1.002 states/eV per atom
size of the total moment: 0.001 μB/cell


Computed, not measured: an optimized crystal structure of Ge2PtIO at the PBE-GGA level of DFT.

Cell: 5.4513 3.8740 5.4513 Å, 90.00 90.00 90.00°
Fractional positions:
I (0.0000, 0.0000, 0.0000)
Ge (0.0000, 0.0000, 0.5000)
Ge (0.5000, 0.0000, 0.0000)
O (0.0000, 0.5000, 0.0000)
Pt (0.5000, 0.5000, 0.5000)

space-group type: P4/mmm, No. 123
VASP energy: -3.50 eV per atom
raw formation energy: 852 meV/atom
calculated density: 7.0 g/cm3
DOS(E_F): 0.449 states/eV per atom
size of the total moment: 0.000 μB/cell


Computed, not measured: an optimized crystal structure of Rb2GeI6O at the PBE-GGA level of DFT.

Cell: 7.4700 7.4700 8.6598 Å, 64.45 64.45 90.00°
Fractional positions:
I (0.2181, 0.2181, 0.5637)
I (0.7819, 0.7819, 0.4363)
I (0.2686, 0.2686, 0.0000)
I (0.7314, 0.7314, 0.0000)
I (0.7314, 0.2686, 0.0000)
I (0.2686, 0.7314, 0.0000)
Ge (0.0000, 0.0000, 0.0000)
O (0.5000, 0.5000, 0.0000)
Rb (0.7500, 0.2500, 0.5000)
Rb (0.2500, 0.7500, 0.5000)

space-group type: I4/mmm, No. 139
VASP energy: -2.61 eV per atom
raw formation energy: -529 meV/atom
calculated density: 4.4 g/cm3
DOS(E_F): 0.292 states/eV per atom
size of the total moment: 0.000 μB/cell


Computed, not measured: an optimized crystal structure of ReGeIO2 at the PBE-GGA level of DFT.

Cell: 3.8281 3.8281 6.5734 Å, 90.00 90.00 90.00°
Fractional positions:
I (0.0000, 0.0000, 0.5000)
Re (0.5000, 0.5000, 0.5000)
Ge (0.0000, 0.0000, 0.0000)
O (0.0000, 0.5000, 0.0000)
O (0.5000, 0.0000, 0.0000)

space-group type: P4/mmm, No. 123
excess energy over the best structure of this formula in the dataset: 79.69 kJ/mol of atoms
VASP energy: -5.12 eV per atom
raw formation energy: 586 meV/atom
calculated density: 7.2 g/cm3
DOS(E_F): 0.618 states/eV per atom
size of the total moment: 3.828 μB/cell


Computed, not measured: an optimized crystal structure of ReGeIO2 at the PBE-GGA level of DFT.

Cell: 3.8989 3.8989 6.2400 Å, 90.00 90.00 90.00°
Fractional positions:
I (0.0000, 0.0000, 0.5000)
Re (0.0000, 0.0000, 0.0000)
Ge (0.5000, 0.5000, 0.5000)
O (0.0000, 0.5000, 0.0000)
O (0.5000, 0.0000, 0.0000)

space-group type: P4/mmm, No. 123
excess energy over the best structure of this formula in the dataset: 0.00 kJ/mol of atoms
VASP energy: -5.95 eV per atom
raw formation energy: -240 meV/atom
calculated density: 7.3 g/cm3
DOS(E_F): 0.566 states/eV per atom
size of the total moment: 0.575 μB/cell


Computed, not measured: an optimized crystal structure of GeRhI2O at the PBE-GGA level of DFT.

Cell: 5.6752 5.6752 3.6667 Å, 90.00 90.00 90.00°
Fractional positions:
I (0.0000, 0.5000, 0.0000)
I (0.5000, 0.0000, 0.0000)
Ge (0.0000, 0.0000, 0.0000)
Rh (0.5000, 0.5000, 0.5000)
O (0.0000, 0.0000, 0.5000)

space-group type: P4/mmm, No. 123
excess energy over the best structure of this formula in the dataset: 22.05 kJ/mol of atoms
VASP energy: -3.75 eV per atom
raw formation energy: 252 meV/atom
calculated density: 6.3 g/cm3
DOS(E_F): 0.733 states/eV per atom
size of the total moment: 1.833 μB/cell


Computed, not measured: an optimized crystal structure of GeRhIO2 at the PBE-GGA level of DFT.

Cell: 4.0501 4.0501 5.5047 Å, 90.00 90.00 90.00°
Fractional positions:
I (0.0000, 0.0000, 0.5000)
Ge (0.5000, 0.5000, 0.5000)
Rh (0.0000, 0.0000, 0.0000)
O (0.0000, 0.5000, 0.0000)
O (0.5000, 0.0000, 0.0000)

space-group type: P4/mmm, No. 123
excess energy over the best structure of this formula in the dataset: 27.87 kJ/mol of atoms
VASP energy: -4.55 eV per atom
raw formation energy: 142 meV/atom
calculated density: 6.2 g/cm3
DOS(E_F): 0.801 states/eV per atom
size of the total moment: 1.709 μB/cell


Computed, not measured: an optimized crystal structure of GeRhI2O at the PBE-GGA level of DFT.

Cell: 5.6521 5.6521 3.7622 Å, 90.00 90.00 90.00°
Fractional positions:
I (0.0000, 0.5000, 0.0000)
I (0.5000, 0.0000, 0.0000)
Ge (0.5000, 0.5000, 0.5000)
Rh (0.0000, 0.0000, 0.0000)
O (0.0000, 0.0000, 0.5000)

space-group type: P4/mmm, No. 123
excess energy over the best structure of this formula in the dataset: 0.00 kJ/mol of atoms
VASP energy: -3.98 eV per atom
raw formation energy: 23 meV/atom
calculated density: 6.2 g/cm3
DOS(E_F): 0.568 states/eV per atom
size of the total moment: 0.000 μB/cell